Here is an optimized crystal structure of AgPd9Au2 from Alexandria. Energies are from PBE.

The space group is P4/mmm (No. 123) and the conventional cell measures 3.996, 3.996 and 12.017 Å, with angles of 90.00, 90.00 and 90.00 degrees. The inequivalent atoms are Ag at (0.000, 0.000, 0.000), Pd at (0.000, 0.500, 0.166), Pd at (0.000, 0.500, 0.500), Pd at (0.500, 0.500, 0.000), Pd at (0.500, 0.500, 0.333) and Au at (0.000, 0.000, 0.333).

For the density of states at the Fermi level, the calculation gives 1.237 states/eV/atom. As for the total magnetization: 0.00 μB per cell. For the formation energy, the calculation gives -0.04 eV per atom.

=====

Here is an optimized crystal structure of Pu4AgPd2Rh from Alexandria. Energies are from PBE.

The space group is R-3m (No. 166, hexagonal axes) and the conventional cell measures 5.0349, 5.0349 and 24.1336 Å, with angles of 90.00, 90.00 and 120.00 degrees. The inequivalent atoms are Pu at (0.0000, 0.0000, 0.1158), Pu at (0.0000, 0.0000, 0.3665), Ag at (0.0000, 0.0000, 0.5000), Pd at (0.0000, 0.0000, 0.2408) and Rh at (0.0000, 0.0000, 0.0000).

For the density of states at the Fermi level, the calculation gives 4.270 states/eV/atom. As for the total magnetization: 67.30 μB per cell. For the formation energy, the calculation gives -0.28 eV per atom.

=====

Here is an optimized crystal structure of Tm2BeNi2 from Alexandria. Energies are from PBE.

The space group is C2/c (No. 15) and the conventional cell measures 9.008, 5.323 and 7.178 Å, with angles of 90.00, 103.38 and 90.00 degrees. The inequivalent atoms are Tm at (0.152, 0.131, 0.150), Be at (0.000, 0.374, 0.750) and Ni at (0.125, 0.373, 0.503).

For the density of states at the Fermi level, the calculation gives 0.674 states/eV/atom. As for the total magnetization: 0.00 μB per cell. For the formation energy, the calculation gives -0.40 eV per atom.

=====

Here is an optimized crystal structure of CsDyGeSe3 from Alexandria. Energies are from PBE.

The space group is P2_1/m (No. 11) and the conventional cell measures 9.253, 4.099 and 11.576 Å, with angles of 90.00, 112.18 and 90.00 degrees. The inequivalent atoms are Cs at (0.234, 0.250, 0.277), Dy at (0.366, 0.750, 0.846), Ge at (0.127, 0.250, 0.563), Se at (0.124, 0.250, 0.776), Se at (0.320, 0.750, 0.583) and Se at (0.404, 0.750, 0.101).

The value obtained for the uncorrected formation energy is -1.2652 eV per atom. As for the total magnetization: 0.00 μB per cell.

=====

Here is an optimized crystal structure of InRuRh from Alexandria. Energies are from PBE.

The space group is F-43m (No. 216) and the conventional cell measures 6.119, 6.119 and 6.119 Å, with angles of 90.00, 90.00 and 90.00 degrees. The inequivalent atoms are In at (0.000, 0.000, 0.000), Ru at (0.000, 0.000, 0.500) and Rh at (0.250, 0.250, 0.750).

For the density of states at the Fermi level, the calculation gives 1.139 states/eV/atom. As for the total magnetization: 7.38 μB per cell. Its offset from the most stable computed form is 292 meV/atom. For the formation energy, the calculation gives 0.30 eV per atom.

=====

Here is an optimized crystal structure of SrPr2Ga from Alexandria. Energies are from PBE.

The space group is R-3m (No. 166, hexagonal axes) and the conventional cell measures 4.9113, 4.9113 and 21.6588 Å, with angles of 90.00, 90.00 and 120.00 degrees. The inequivalent atoms are Sr at (0.0000, 0.0000, 0.0000), Pr at (0.0000, 0.0000, 0.2203) and Ga at (0.0000, 0.0000, 0.5000).

For the density of states at the Fermi level, the calculation gives 1.103 states/eV/atom. As for the total magnetization: 0.00 μB per cell. Its offset from the most stable computed form is 141 meV/atom. For the formation energy, the calculation gives -0.04 eV per atom.

=====

Here is an optimized crystal structure of TbPm2Ir from Alexandria. Energies are from PBE.

The space group is P4/mmm (No. 123) and the conventional cell measures 3.590, 3.590 and 8.834 Å, with angles of 90.00, 90.00 and 90.00 degrees. The inequivalent atoms are Tb at (0.000, 0.000, 0.000), Pm at (0.500, 0.500, 0.312) and Ir at (0.000, 0.000, 0.500).

For the density of states at the Fermi level, the calculation gives 1.394 states/eV/atom. As for the total magnetization: 0.00 μB per cell. Its offset from the most stable computed form is 235 meV/atom. For the formation energy, the calculation gives -0.26 eV per atom.

=====

Here is an optimized crystal structure of SrCoCl2 from Alexandria. Energies are from PBE.

The space group is R-3m (No. 166, hexagonal axes) and the conventional cell measures 4.8382, 4.8382 and 18.8190 Å, with angles of 90.00, 90.00 and 120.00 degrees. The inequivalent atoms are Sr at (0.0000, 0.0000, 0.0000), Co at (0.0000, 0.0000, 0.5000) and Cl at (0.0000, 0.0000, 0.3875).

The value obtained for the uncorrected formation energy is -0.8470 eV per atom. For the density of states at the Fermi level, the calculation gives 1.416 states/eV/atom. As for the total magnetization: 3.00 μB per cell. Its offset from the most stable computed form is 127 meV/atom.

=====

Here is an optimized crystal structure of Nd2MnBe2Rh5 from Alexandria. Energies are from PBE.

The space group is P4/mbm (No. 127) and the conventional cell measures 9.747, 9.747 and 3.314 Å, with angles of 90.00, 90.00 and 90.00 degrees. The inequivalent atoms are Nd at (0.178, 0.322, 0.000), Mn at (0.000, 0.000, 0.000), Be at (0.119, 0.619, 0.000), Rh at (0.000, 0.500, 0.500) and Rh at (0.067, 0.785, 0.500).

For the density of states at the Fermi level, the calculation gives 0.662 states/eV/atom. As for the total magnetization: 8.72 μB per cell. For the formation energy, the calculation gives -0.55 eV per atom.

=====

Here is an optimized crystal structure of Ta2FeIr from Alexandria. Energies are from PBE.

The space group is Imm2 (No. 44) and the conventional cell measures 3.710, 3.925 and 8.466 Å, with angles of 90.00, 90.00 and 90.00 degrees. The inequivalent atoms are Ta at (0.000, 0.000, 0.000), Ta at (0.000, 0.500, 0.248), Fe at (0.000, 0.500, 0.742) and Ir at (0.000, 0.000, 0.498).

For the density of states at the Fermi level, the calculation gives 0.884 states/eV/atom. As for the total magnetization: 0.01 μB per cell. For the formation energy, the calculation gives -0.22 eV per atom.

=====

Here is an optimized crystal structure of Sn2PdO2 from Alexandria. Energies are from PBE.

The space group is I4/mmm (No. 139) and the conventional cell measures 4.850, 4.850 and 7.584 Å, with angles of 90.00, 90.00 and 90.00 degrees. The inequivalent atoms are Sn at (0.000, 0.500, 0.250), Pd at (0.000, 0.000, 0.000) and O at (0.000, 0.000, 0.279).

The value obtained for the uncorrected formation energy is -0.6050 eV per atom. For the density of states at the Fermi level, the calculation gives 0.118 states/eV/atom. As for the total magnetization: 0.00 μB per cell. Its offset from the most stable computed form is 0 meV/atom.

=====

Here is an optimized crystal structure of HoTcN2 from Alexandria. Energies are from PBE.

The space group is Pnma (No. 62) and the conventional cell measures 5.631, 3.131 and 10.728 Å, with angles of 90.00, 90.00 and 90.00 degrees. The inequivalent atoms are Ho at (0.075, 0.250, 0.148), Tc at (0.062, 0.750, 0.403), N at (0.171, 0.250, 0.755) and N at (0.250, 0.250, 0.497).

The value obtained for the uncorrected formation energy is -0.9165 eV per atom. For the density of states at the Fermi level, the calculation gives 0.147 states/eV/atom. As for the total magnetization: 0.00 μB per cell. Its offset from the most stable computed form is 0 meV/atom.